Record 1
This record from the Alexandria database describes a crystal of Ca2InOs relaxed with PBEsol. The functional is SCAN.

a = 3.5005 Å, b = 3.5005 Å, c = 8.1835 Å
α = 90.00°, β = 90.00°, γ = 90.00°
Closest atoms and distances in Å follow each position.
Positions (direct):
Ca: 0.0000 0.0000 0.0000  1 In 3.00, 4 Os 3.07
Ca: 0.5000 0.5000 0.3928  1 Os 3.15, 4 In 3.16, 4 Ca 3.50
In: 0.0000 0.0000 0.6330  4 Os 2.75, 1 Ca 3.00
Os: 0.5000 0.5000 0.7783  4 In 2.75, 4 Ca 3.07

Calculated values
Formation energy from the elements = 11.2 kJ/mol of atoms
V = 25.07 Å³ per atom

=====

Record 2
This record from the Alexandria database describes a crystal of CaIn2Os relaxed with PBEsol. The functional is SCAN.

a = 9.4362 Å, b = 9.4362 Å, c = 9.4362 Å
α = 20.06°, β = 20.06°, γ = 20.06°
Closest atoms and distances in Å follow each position.
Positions (direct):
Ca: 0.0000 0.0000 0.0000  6 In 3.24, 6 Ca 3.29
In: 0.2384 0.2384 0.2384  3 Os 2.75
In: 0.7616 0.7616 0.7616  3 Os 2.75
Os: 0.5000 0.5000 0.5000  6 In 2.75

Calculated values
Formation energy from the elements = 31.0 kJ/mol of atoms
V = 21.62 Å³ per atom

=====

Record 3
This record from the Alexandria database describes a crystal of CaInP relaxed with PBEsol. The functional is SCAN.

a = 4.7997 Å, b = 4.7997 Å, c = 4.7997 Å
α = 60.00°, β = 60.00°, γ = 60.00°
Closest atoms and distances in Å follow each position.
Positions (direct):
Ca: 0.0000 0.0000 0.0000  4 In 2.94, 4 P 2.94
In: 0.2500 0.2500 0.2500  4 Ca 2.94
P: 0.7500 0.7500 0.7500  4 Ca 2.94

Calculated values
Formation energy from the elements = -24.9 kJ/mol of atoms
V = 26.06 Å³ per atom

=====

Record 4
This record from the Alexandria database describes a crystal of CaInP relaxed with PBEsol. The functional is SCAN.

a = 10.6273 Å, b = 4.1575 Å, c = 6.7053 Å
α = 90.00°, β = 90.00°, γ = 90.00°
Closest atoms and distances in Å follow each position.
Positions (direct):
Ca: 0.0958 0.2500 0.1895  4 P 2.86-3.03
Ca: 0.4042 0.7500 0.6895  4 P 2.86-3.03
Ca: 0.5958 0.2500 0.3105  4 P 2.86-3.03
Ca: 0.9042 0.7500 0.8105  4 P 2.86-3.03
In: 0.1220 0.2500 0.6717  3 P 2.68-2.75
In: 0.3780 0.7500 0.1717  3 P 2.68-2.75
In: 0.6220 0.2500 0.8283  3 P 2.68-2.75
In: 0.8780 0.7500 0.3283  3 P 2.68-2.75
P: 0.1796 0.7500 0.9248  3 In 2.68-2.75, 3 Ca 2.86-2.87
P: 0.3204 0.2500 0.4248  3 In 2.68-2.75, 3 Ca 2.86-2.87
P: 0.6796 0.7500 0.5752  3 In 2.68-2.75, 3 Ca 2.86-2.87
P: 0.8204 0.2500 0.0752  3 In 2.68-2.75, 3 Ca 2.86-2.87

Calculated values
Formation energy from the elements = -76.2 kJ/mol of atoms
V = 24.69 Å³ per atom

=====

Record 5
This record from the Alexandria database describes a crystal of CaInP2 relaxed with PBEsol. The functional is SCAN.

a = 5.6219 Å, b = 3.9526 Å, c = 3.9526 Å
α = 90.01°, β = 90.00°, γ = 90.00°
Closest atoms and distances in Å follow each position.
Positions (direct):
Ca: 0.0000 0.0000 0.0000  6 P 2.79-2.81
In: 0.5000 0.5034 0.5034  6 P 2.79-2.81
P: 0.0000 0.5000 0.5000  4 Ca 2.79-2.80, 2 In 2.81
P: 0.5000 0.0030 0.0030  4 In 2.79-2.80, 2 Ca 2.81

Calculated values
Formation energy from the elements = -37.2 kJ/mol of atoms
V = 21.96 Å³ per atom

=====

Record 6
This record from the Alexandria database describes a crystal of RbCaIn2P relaxed with PBEsol. The functional is SCAN.

a = 5.2840 Å, b = 5.2840 Å, c = 5.9158 Å
α = 90.00°, β = 90.00°, γ = 90.00°
Closest atoms and distances in Å follow each position.
Positions (direct):
Rb: 0.0000 0.0000 0.0000  2 P 2.96
Ca: 0.5000 0.5000 0.0000  4 Rb 3.74, 8 In 3.97
In: 0.0000 0.5000 0.5000  2 P 2.64
In: 0.5000 0.0000 0.5000  2 P 2.64
P: 0.0000 0.0000 0.5000  4 In 2.64, 2 Rb 2.96

Calculated values
Formation energy from the elements = 20.4 kJ/mol of atoms
V = 33.03 Å³ per atom